# Y2TiGaN PBE optimized geometry
# Space group   No. 123
# DFT total energy   -36.9 eV per formula unit
# Total magnetization   1.25 μB/cell
# Raw formation energy   -936.8 meV per atom
# Crystal system   tetragonal
data_Y2TiGaN
_chemical_formula_sum 'Y2 Ti1 Ga1 N1'
_cell_length_a 4.8277
_cell_length_b 4.8277
_cell_length_c 4.1059
_cell_angle_alpha 90.00
_cell_angle_beta 90.00
_cell_angle_gamma 90.00
_symmetry_space_group_name_H-M 'P 1'
_symmetry_Int_Tables_number 1
_symmetry_space_group_name_Hall 'P 1'
loop_
_atom_site_label
_atom_site_type_symbol
_atom_site_fract_x
_atom_site_fract_y
_atom_site_fract_z
Y1 Y 0.0000 0.5000 0.0000
Y2 Y 0.5000 0.0000 0.0000
N1 N 0.0000 0.0000 0.0000
Ga1 Ga 0.5000 0.5000 0.5000
Ti1 Ti 0.0000 0.0000 0.5000

---

# ZrFe2Bi PBE optimized geometry
# Space group   No. 225
# DFT total energy   -28.8 eV per formula unit
# Total magnetization   2.99 μB/cell
# Crystal system   cubic
# Formation enthalpy at 0 K   141 meV/atom
data_ZrFe2Bi
_chemical_formula_sum 'Zr1 Fe2 Bi1'
_cell_length_a 4.5674
_cell_length_b 4.5674
_cell_length_c 4.5674
_cell_angle_alpha 60.00
_cell_angle_beta 60.00
_cell_angle_gamma 60.00
_symmetry_space_group_name_H-M 'P 1'
_symmetry_Int_Tables_number 1
_symmetry_space_group_name_Hall 'P 1'
loop_
_atom_site_label
_atom_site_type_symbol
_atom_site_fract_x
_atom_site_fract_y
_atom_site_fract_z
Bi1 Bi 0.5000 0.5000 0.5000
Zr1 Zr 0.0000 0.0000 0.0000
Fe1 Fe 0.2500 0.2500 0.2500
Fe2 Fe 0.7500 0.7500 0.7500

---

# SnAsHOsBr PBE optimized geometry
# Space group   No. 6
# DFT total energy   -24.4 eV per formula unit
# Total magnetization   0.00 μB/cell
# Crystal system   monoclinic
data_SnAsHOsBr
_chemical_formula_sum 'Sn1 As1 H1 Os1 Br1'
_cell_length_a 3.3234
_cell_length_b 3.0226
_cell_length_c 9.3161
_cell_angle_alpha 90.00
_cell_angle_beta 90.61
_cell_angle_gamma 90.00
_symmetry_space_group_name_H-M 'P 1'
_symmetry_Int_Tables_number 1
_symmetry_space_group_name_Hall 'P 1'
loop_
_atom_site_label
_atom_site_type_symbol
_atom_site_fract_x
_atom_site_fract_y
_atom_site_fract_z
Sn1 Sn 0.6105 0.5000 0.7926
As1 As 0.5976 0.0000 0.3806
H1 H 0.1052 0.0000 0.6253
Os1 Os 0.1020 0.5000 0.5221
Br1 Br 0.1182 0.5000 0.0490

---

# Zr2UIn PBE optimized geometry
# Space group   No. 123
# DFT total energy   -30.8 eV per formula unit
# Total magnetization   1.79 μB/cell
# Crystal system   tetragonal
# Formation enthalpy at 0 K   75 meV/atom
data_Zr2UIn
_chemical_formula_sum 'Zr2 U1 In1'
_cell_length_a 3.6238
_cell_length_b 3.6238
_cell_length_c 6.8084
_cell_angle_alpha 90.00
_cell_angle_beta 90.00
_cell_angle_gamma 90.00
_symmetry_space_group_name_H-M 'P 1'
_symmetry_Int_Tables_number 1
_symmetry_space_group_name_Hall 'P 1'
loop_
_atom_site_label
_atom_site_type_symbol
_atom_site_fract_x
_atom_site_fract_y
_atom_site_fract_z
U1 U 0.5000 0.5000 0.0000
Zr1 Zr 0.0000 0.0000 0.7648
Zr2 Zr 0.0000 0.0000 0.2352
In1 In 0.5000 0.5000 0.5000

---

# CeNdEr2 PBE optimized geometry
# Space group   No. 160
# DFT total energy   -19.6 eV per formula unit
# Total magnetization   0.54 μB/cell
# Crystal system   trigonal
# Formation enthalpy at 0 K   54 meV/atom
data_CeNdEr2
_chemical_formula_sum 'Ce1 Nd1 Er2'
_cell_length_a 3.5476
_cell_length_b 3.5476
_cell_length_c 11.6599
_cell_angle_alpha 81.25
_cell_angle_beta 81.25
_cell_angle_gamma 60.00
_symmetry_space_group_name_H-M 'P 1'
_symmetry_Int_Tables_number 1
_symmetry_space_group_name_Hall 'P 1'
loop_
_atom_site_label
_atom_site_type_symbol
_atom_site_fract_x
_atom_site_fract_y
_atom_site_fract_z
Ce1 Ce 0.6664 0.6664 0.0008
Nd1 Nd 0.5006 0.5006 0.4983
Er1 Er 0.0806 0.0806 0.7582
Er2 Er 0.2524 0.2524 0.2427

---

# Mo2PtI PBE optimized geometry
# Space group   No. 225
# DFT total energy   -26.9 eV per formula unit
# Total magnetization   0.00 μB/cell
# Raw formation energy   590.9 meV per atom
# Crystal system   cubic
data_Mo2PtI
_chemical_formula_sum 'Mo2 Pt1 I1'
_cell_length_a 4.5960
_cell_length_b 4.5960
_cell_length_c 4.5960
_cell_angle_alpha 60.00
_cell_angle_beta 60.00
_cell_angle_gamma 60.00
_symmetry_space_group_name_H-M 'P 1'
_symmetry_Int_Tables_number 1
_symmetry_space_group_name_Hall 'P 1'
loop_
_atom_site_label
_atom_site_type_symbol
_atom_site_fract_x
_atom_site_fract_y
_atom_site_fract_z
I1 I 0.0000 0.0000 0.0000
Mo1 Mo 0.2500 0.2500 0.2500
Mo2 Mo 0.7500 0.7500 0.7500
Pt1 Pt 0.5000 0.5000 0.5000

---

# PmHo3P PBE optimized geometry
# Space group   No. 221
# DFT total energy   -25.9 eV per formula unit
# Total magnetization   1.24 μB/cell
# Crystal system   cubic
# Formation enthalpy at 0 K   -409 meV/atom
data_PmHo3P
_chemical_formula_sum 'Pm1 Ho3 P1'
_cell_length_a 5.3699
_cell_length_b 5.3699
_cell_length_c 5.3699
_cell_angle_alpha 90.00
_cell_angle_beta 90.00
_cell_angle_gamma 90.00
_symmetry_space_group_name_H-M 'P 1'
_symmetry_Int_Tables_number 1
_symmetry_space_group_name_Hall 'P 1'
loop_
_atom_site_label
_atom_site_type_symbol
_atom_site_fract_x
_atom_site_fract_y
_atom_site_fract_z
P1 P 0.0000 0.0000 0.0000
Ho1 Ho 0.0000 0.5000 0.0000
Ho2 Ho 0.0000 0.0000 0.5000
Ho3 Ho 0.5000 0.0000 0.0000
Pm1 Pm 0.5000 0.5000 0.5000

---

# Nd6Y2ErTh PBE optimized geometry
# Space group   No. 15
# DFT total energy   -52.1 eV per formula unit
# Total magnetization   0.00 μB/cell
# Crystal system   monoclinic
# Formation enthalpy at 0 K   146 meV/atom
data_Nd6Y2ErTh
_chemical_formula_sum 'Nd12 Y4 Er2 Th2'
_cell_length_a 9.5632
_cell_length_b 8.9295
_cell_length_c 8.9295
_cell_angle_alpha 115.24
_cell_angle_beta 93.18
_cell_angle_gamma 93.18
_symmetry_space_group_name_H-M 'P 1'
_symmetry_Int_Tables_number 1
_symmetry_space_group_name_Hall 'P 1'
loop_
_atom_site_label
_atom_site_type_symbol
_atom_site_fract_x
_atom_site_fract_y
_atom_site_fract_z
Nd1 Nd 0.0620 0.1106 0.7655
Nd2 Nd 0.4380 0.2345 0.8894
Nd3 Nd 0.9380 0.8894 0.2345
Nd4 Nd 0.5620 0.7655 0.1106
Nd5 Nd 0.3088 0.9948 0.4269
Nd6 Nd 0.1912 0.5731 0.0052
Nd7 Nd 0.6912 0.0052 0.5731
Nd8 Nd 0.8088 0.4269 0.9948
Nd9 Nd 0.1151 0.7040 0.4776
Nd10 Nd 0.3849 0.5224 0.2960
Nd11 Nd 0.8849 0.2960 0.5224
Nd12 Nd 0.6151 0.4776 0.7040
Y1 Y 0.4452 0.7959 0.7061
Y2 Y 0.0548 0.2939 0.2041
Y3 Y 0.5548 0.2041 0.2939
Y4 Y 0.9452 0.7061 0.7959
Er1 Er 0.2500 0.4103 0.5897
Er2 Er 0.7500 0.5897 0.4103
Th1 Th 0.2500 0.9651 0.0349
Th2 Th 0.7500 0.0349 0.9651